Below is crystalline Ba2BS at its relaxed geometry, with properties calculated at the PBE level.

Cell: 7.9094 7.9094 9.4694 Å, 90.00 90.00 90.00°
Positions (direct):
Ba 0.2440 0.2500 0.1250
Ba 0.2500 0.7440 0.3750
Ba 0.2500 0.7560 0.8750
Ba 0.2560 0.2500 0.6250
Ba 0.7440 0.7500 0.6250
Ba 0.7500 0.2440 0.8750
Ba 0.7500 0.2560 0.3750
Ba 0.7560 0.7500 0.1250
B 0.0000 0.0000 0.0000
B 0.0000 0.5000 0.2500
B 0.5000 0.0000 0.7500
B 0.5000 0.5000 0.5000
S 0.0000 0.0000 0.5000
S 0.0000 0.5000 0.7500
S 0.5000 0.0000 0.2500
S 0.5000 0.5000 0.0000

Summary:
* space-group type: No. 122
* crystal system: tetragonal
* relative energy among the computed polymorphs: 0.68 kJ/mol of atoms

---

Below is crystalline BaBS2 at its relaxed geometry, with properties calculated at the PBE level.

Cell: 5.0260 5.0260 18.4429 Å, 90.00 90.00 120.00°
Positions (direct):
Ba 0.0000 0.0000 0.0000
Ba 0.3333 0.6667 0.6667
Ba 0.6667 0.3333 0.3333
B 0.0000 0.0000 0.5000
B 0.3333 0.6667 0.1667
B 0.6667 0.3333 0.8333
S 0.0000 0.0000 0.4068
S 0.0000 0.0000 0.5932
S 0.3333 0.6667 0.0734
S 0.3333 0.6667 0.2599
S 0.6667 0.3333 0.7401
S 0.6667 0.3333 0.9266

Summary:
* space-group type: No. 166
* crystal system: trigonal

---

Below is crystalline BaBS4 at its relaxed geometry, with properties calculated at the PBE level.

Cell: 13.5380 13.5380 13.5380 Å, 158.11 158.11 31.15°
Positions (direct):
Ba 0.3750 0.6250 0.7500
Ba 0.6250 0.3750 0.2500
B 0.1250 0.8750 0.2500
B 0.8750 0.1250 0.7500
S 0.1690 0.1809 0.9881
S 0.1809 0.1690 0.4881
S 0.1809 0.6928 0.0119
S 0.3072 0.8191 0.4881
S 0.6928 0.1809 0.5119
S 0.8191 0.3072 0.9881
S 0.8191 0.8310 0.5119
S 0.8310 0.8191 0.0119

Summary:
* space-group type: No. 141
* crystal system: tetragonal
* relative energy among the computed polymorphs: 10.30 kJ/mol of atoms

---

Below is crystalline Ba7B4S13 at its relaxed geometry, with properties calculated at the PBE level.

Cell: 13.2102 13.2102 10.2872 Å, 90.01 90.01 134.12°
Positions (direct):
Ba 0.0027 0.9973 0.7500
Ba 0.0459 0.3953 0.3561
Ba 0.1687 0.8313 0.2500
Ba 0.2219 0.5658 0.9702
Ba 0.3953 0.0459 0.8561
Ba 0.4342 0.7781 0.5298
Ba 0.4936 0.5064 0.2500
Ba 0.5064 0.4936 0.7500
Ba 0.5658 0.2219 0.4702
Ba 0.6047 0.9541 0.1439
Ba 0.7781 0.4342 0.0298
Ba 0.8313 0.1687 0.7500
Ba 0.9541 0.6047 0.6439
Ba 0.9973 0.0027 0.2500
B 0.0182 0.7830 0.9322
B 0.2077 0.4326 0.6492
B 0.2170 0.9818 0.5678
B 0.4326 0.2077 0.1492
B 0.5674 0.7923 0.8508
B 0.7830 0.0182 0.4322
B 0.7923 0.5674 0.3508
B 0.9818 0.2170 0.0678
S 0.0410 0.8754 0.5018
S 0.0947 0.7073 0.9386
S 0.1239 0.5016 0.6515
S 0.1246 0.9590 0.9982
S 0.1511 0.3140 0.1477
S 0.1803 0.3349 0.7916
S 0.2927 0.9053 0.5614
S 0.2957 0.7043 0.2500
S 0.3140 0.1511 0.6477
S 0.3235 0.4769 0.5157
S 0.3349 0.1803 0.2916
S 0.4769 0.3235 0.0156
S 0.4984 0.8761 0.8485
S 0.5016 0.1239 0.1515
S 0.5231 0.6765 0.9844
S 0.6651 0.8197 0.7084
S 0.6765 0.5231 0.4844
S 0.6860 0.8489 0.3523
S 0.7043 0.2957 0.7500
S 0.7073 0.0947 0.4386
S 0.8197 0.6651 0.2084
S 0.8489 0.6860 0.8523
S 0.8754 0.0410 0.0018
S 0.8761 0.4984 0.3485
S 0.9053 0.2927 0.0614
S 0.9590 0.1246 0.4982

Summary:
* space-group type: No. 15
* crystal system: monoclinic

---

Below is crystalline Ba3B2S6 at its relaxed geometry, with properties calculated at the PBE level.

Cell: 5.0310 5.0310 12.3009 Å, 98.25 98.25 83.37°
Positions (direct):
Ba 0.0000 0.0000 0.0000
Ba 0.1674 0.1674 0.3531
Ba 0.8326 0.8326 0.6469
B 0.2489 0.2489 0.7612
B 0.7511 0.7511 0.2388
S 0.0318 0.5654 0.1752
S 0.2897 0.2897 0.6168
S 0.4346 0.9682 0.8248
S 0.5654 0.0318 0.1752
S 0.7103 0.7103 0.3832
S 0.9682 0.4346 0.8248

Summary:
* space-group type: No. 12
* crystal system: monoclinic

---

Below is crystalline BaBS3 at its relaxed geometry, with properties calculated at the PBE level.

Cell: 6.1709 6.3684 8.6836 Å, 86.64 73.00 63.19°
Positions (direct):
Ba 0.0000 0.0000 0.0000
Ba 0.0618 0.5457 0.5937
B 0.4658 0.1990 0.8514
B 0.6171 0.6527 0.2961
S 0.0441 0.0533 0.6161
S 0.1464 0.4321 0.9343
S 0.5046 0.4789 0.2457
S 0.5832 0.8967 0.8944
S 0.6660 0.3113 0.7066
S 0.7147 0.8344 0.3535

Summary:
* space-group type: No. 1
* crystal system: triclinic
* relative energy among the computed polymorphs: 3.85 kJ/mol of atoms

---

Below is crystalline BaB2S4 at its relaxed geometry, with properties calculated at the PBE level.

Cell: 6.0262 6.0262 10.8683 Å, 90.00 90.00 128.51°
Positions (direct):
Ba 0.0000 0.0000 0.2500
Ba 0.0000 0.0000 0.7500
B 0.2522 0.7474 0.5000
B 0.2526 0.7478 0.0000
B 0.7474 0.2522 0.0000
B 0.7478 0.2526 0.5000
S 0.0000 0.5000 0.3681
S 0.0000 0.5000 0.6319
S 0.1289 0.3650 0.0000
S 0.3650 0.1289 0.5000
S 0.5000 0.0000 0.1319
S 0.5000 0.0000 0.8681
S 0.6350 0.8711 0.5000
S 0.8711 0.6350 0.0000

Summary:
* space-group type: No. 66
* crystal system: orthorhombic

---

Below is crystalline Ba2B2S5 at its relaxed geometry, with properties calculated at the PBE level.

Cell: 7.2743 7.2743 8.0469 Å, 102.31 102.31 27.95°
Positions (direct):
Ba 0.0994 0.0994 0.2445
Ba 0.9006 0.9006 0.7555
B 0.3759 0.3759 0.3000
B 0.6241 0.6241 0.7000
S 0.1943 0.1943 0.6521
S 0.4144 0.4144 0.0986
S 0.5000 0.5000 0.5000
S 0.5856 0.5856 0.9014
S 0.8057 0.8057 0.3479

Summary:
* space-group type: No. 12
* crystal system: monoclinic
* relative energy among the computed polymorphs: 0.00 kJ/mol of atoms

---

Below is crystalline Ba5BS8 at its relaxed geometry, with properties calculated at the PBE level.

Cell: 8.3826 8.3826 8.3826 Å, 115.19 115.19 98.55°
Positions (direct):
Ba 0.0000 0.0000 0.0000
Ba 0.2537 0.1087 0.5843
Ba 0.3305 0.7462 0.8549
Ba 0.5244 0.6695 0.4157
Ba 0.8913 0.4756 0.1451
B 0.7500 0.2500 0.5000
S 0.0139 0.3666 0.7306
S 0.1913 0.7830 0.1806
S 0.2170 0.3976 0.4083
S 0.6024 0.0107 0.8194
S 0.6334 0.3640 0.6474
S 0.6360 0.2834 0.2694
S 0.7166 0.9861 0.3526
S 0.9893 0.8087 0.5917

Summary:
* space-group type: No. 82
* crystal system: tetragonal

---

Below is crystalline BaBS2 at its relaxed geometry, with properties calculated at the PBE level.

Cell: 6.9375 6.9375 5.1018 Å, 90.00 90.00 90.00°
Positions (direct):
Ba 0.0000 0.5000 0.0000
Ba 0.5000 0.0000 0.5000
B 0.0000 0.0000 0.2500
B 0.0000 0.0000 0.7500
S 0.0853 0.8043 0.5000
S 0.1957 0.0853 0.0000
S 0.8043 0.9147 0.0000
S 0.9147 0.1957 0.5000

Summary:
* space-group type: No. 84
* crystal system: tetragonal

---

Below is crystalline Ba2BS at its relaxed geometry, with properties calculated at the PBE level.

Cell: 7.7017 7.7017 7.7017 Å, 90.00 90.00 90.00°
Positions (direct):
Ba 0.2500 0.2500 0.2500
Ba 0.2500 0.2500 0.7500
Ba 0.2500 0.7500 0.2500
Ba 0.2500 0.7500 0.7500
Ba 0.7500 0.2500 0.2500
Ba 0.7500 0.2500 0.7500
Ba 0.7500 0.7500 0.2500
Ba 0.7500 0.7500 0.7500
B 0.0000 0.0000 0.0000
B 0.0000 0.5000 0.5000
B 0.5000 0.0000 0.5000
B 0.5000 0.5000 0.0000
S 0.0000 0.0000 0.5000
S 0.0000 0.5000 0.0000
S 0.5000 0.0000 0.0000
S 0.5000 0.5000 0.5000

Summary:
* space-group type: No. 225
* crystal system: cubic
* relative energy among the computed polymorphs: 0.00 kJ/mol of atoms

---

Below is crystalline BaBS3 at its relaxed geometry, with properties calculated at the PBE level.

Cell: 4.5623 4.5623 4.5623 Å, 90.00 90.00 90.00°
Positions (direct):
Ba 0.0000 0.0000 0.0000
B 0.5000 0.5000 0.5000
S 0.0000 0.5000 0.5000
S 0.5000 0.0000 0.5000
S 0.5000 0.5000 0.0000

Summary:
* space-group type: No. 221
* crystal system: cubic
* relative energy among the computed polymorphs: 79.56 kJ/mol of atoms

---

| no. | formation energy without anion corrections (meV per atom) | total magnetization (μB per cell) | DFT total energy (eV per atom) |
| --- | --- | --- | --- |
| 1 | -204 | 12.00 | -3.87 |
| 2 | -711 | 3.00 | -4.93 |
| 3 | -708 | 0.00 | -4.89 |
| 4 | -1489 | 0.00 | -5.40 |
| 5 | -1378 | 0.00 | -5.37 |
| 6 | -1054 | 0.00 | -5.25 |
| 7 | -973 | 0.00 | -5.51 |
| 8 | -884 | 0.00 | -5.09 |
| 9 | -1227 | 3.06 | -4.75 |
| 10 | -733 | 0.94 | -4.95 |
| 11 | -212 | 11.97 | -3.87 |
| 12 | -269 | 0.00 | -4.47 |